Record 1
Compound: TmGe2Rh4
Source: Alexandria via LeMat-Bulk
Functional: GGA-PBEsol
Structure: optimized geometry

Cell lengths 11.286, 4.127, 9.021 Å; angles 90.00, 90.00, 90.00 degrees
Space group Pnma (No. 62)
Inequivalent atoms, fractional coordinates:
Tm1 0.173 0.250 0.148 [4 per cell]
Ge1 0.060 0.750 0.382 [4 per cell]
Ge2 0.139 0.750 0.915 [4 per cell]
Rh1 0.002 0.250 0.884 [4 per cell]
Rh2 0.062 0.750 0.671 [4 per cell]
Rh3 0.156 0.250 0.496 [4 per cell]
Rh4 0.231 0.250 0.805 [4 per cell]

Spin magnetization (μB/atom): 0.00
Crystal system: orthorhombic
Calculated formation energy (eV/atom): -0.80
Uncorrected energy (eV per atom): -7.56



Record 2
Compound: YZrAu2
Source: Alexandria via LeMat-Bulk
Functional: GGA-PBEsol
Structure: optimized geometry

Cell lengths 6.918, 6.918, 6.918 Å; angles 90.00, 90.00, 90.00 degrees
Space group Fm-3m (No. 225)
Inequivalent atoms, fractional coordinates:
Y1 0.000 0.000 0.000 [4 per cell]
Zr1 0.000 0.000 0.500 [4 per cell]
Au1 0.250 0.250 0.250 [8 per cell]

Spin magnetization (μB/atom): 0.00
Relative energy among the computed polymorphs (eV/atom): 0.0623
Crystal system: cubic
Calculated formation energy (eV/atom): -0.62
Uncorrected energy (eV per atom): -6.56



Record 3
Compound: Tm2ZnIr
Source: Alexandria via LeMat-Bulk
Functional: GGA-PBEsol
Structure: optimized geometry

Cell lengths 6.766, 6.766, 6.766 Å; angles 90.00, 90.00, 90.00 degrees
Space group Fm-3m (No. 225)
Inequivalent atoms, fractional coordinates:
Tm1 0.250 0.250 0.250 [8 per cell]
Zn1 0.000 0.000 0.000 [4 per cell]
Ir1 0.000 0.000 0.500 [4 per cell]

Spin magnetization (μB/atom): 0.00
Crystal system: cubic
Calculated formation energy (eV/atom): -0.67
Uncorrected energy (eV per atom): -5.97



Record 4
Compound: YCu2W
Source: Alexandria via LeMat-Bulk
Functional: GGA-PBEsol
Structure: optimized geometry

Cell lengths 6.373, 6.373, 6.373 Å; angles 90.00, 90.00, 90.00 degrees
Space group Fm-3m (No. 225)
Inequivalent atoms, fractional coordinates:
Y1 0.000 0.000 0.000 [4 per cell]
Cu1 0.250 0.250 0.250 [8 per cell]
W1 0.000 0.000 0.500 [4 per cell]

Spin magnetization (μB/atom): 0.00
Relative energy among the computed polymorphs (eV/atom): 0.0000
Crystal system: cubic
Calculated formation energy (eV/atom): 0.42
Uncorrected energy (eV per atom): -6.90